(1)
# CsCoSeBr6 | Alexandria | PBE | relaxed
data_CsCoSeBr6
_space_group_name_H-M_alt 'P 1'
_space_group_IT_number 1
_cell_length_a 6.737
_cell_length_b 6.753
_cell_length_c 7.951
_cell_angle_alpha 93.85
_cell_angle_beta 94.17
_cell_angle_gamma 110.32
loop_
_space_group_symop_operation_xyz
'x,y,z'
loop_
_atom_site_label
_atom_site_type_symbol
_atom_site_fract_x
_atom_site_fract_y
_atom_site_fract_z
Cs1 Cs 0.000 0.000 0.000
Co1 Co 0.376 0.625 0.501
Se1 Se 0.733 0.268 0.500
Br1 Br 0.104 0.359 0.647
Br2 Br 0.107 0.650 0.299
Br3 Br 0.354 0.893 0.705
Br4 Br 0.412 0.345 0.314
Br5 Br 0.642 0.898 0.354
Br6 Br 0.659 0.588 0.686
# - Raw formation energy: -4.30 eV per formula unit
# - Total DFT energy (no corrections): -2.864 eV per atom
# - DOS at the Fermi energy: 1.2 states/eV per cell

***

(2)
# NaBe2B | Alexandria | PBE | relaxed
data_NaBe2B
_space_group_name_H-M_alt 'C 1 m 1'
_space_group_IT_number 8
_cell_length_a 12.992
_cell_length_b 3.336
_cell_length_c 2.187
_cell_angle_alpha 90.00
_cell_angle_beta 99.68
_cell_angle_gamma 90.00
loop_
_space_group_symop_operation_xyz
'x,y,z'
'x,-y,z'
'x+1/2,y+1/2,z'
'x+1/2,-y+1/2,z'
loop_
_atom_site_label
_atom_site_type_symbol
_atom_site_fract_x
_atom_site_fract_y
_atom_site_fract_z
Na1 Na 0.000 0.000 0.000
Be1 Be 0.189 0.500 0.185
Be2 Be 0.328 0.000 0.323
B1 B 0.201 0.000 0.696
# - E_form: 0.49 eV per atom
# - Total DFT energy (no corrections): -3.377 eV per atom
# - DOS at the Fermi energy: 2.4 states/eV per cell

***

(3)
# InAgHg2Pb | Alexandria | PBE | relaxed
data_InAgHg2Pb
_space_group_name_H-M_alt 'P 4/m m m'
_space_group_IT_number 123
_space_group_name_Hall '-P 4 2'
_cell_length_a 5.469
_cell_length_b 5.469
_cell_length_c 5.932
_cell_angle_alpha 90.00
_cell_angle_beta 90.00
_cell_angle_gamma 90.00
loop_
_atom_site_label
_atom_site_type_symbol
_atom_site_fract_x
_atom_site_fract_y
_atom_site_fract_z
In1 In 0.000 0.000 0.000
Ag1 Ag 0.500 0.500 0.500
Hg1 Hg 0.000 0.500 0.000
Pb1 Pb 0.000 0.000 0.500
# - E_form: 0.48 eV per atom
# - Total DFT energy (no corrections): -1.500 eV per atom
# - DOS at the Fermi energy: 2.0 states/eV per cell

***

(4)
# ZrMnSi2 | Alexandria | PBE | relaxed
data_ZrMnSi2
_space_group_name_H-M_alt 'F -4 3 m'
_space_group_IT_number 216
_space_group_name_Hall 'F -4 2 3'
_cell_length_a 6.188
_cell_length_b 6.188
_cell_length_c 6.188
_cell_angle_alpha 90.00
_cell_angle_beta 90.00
_cell_angle_gamma 90.00
loop_
_atom_site_label
_atom_site_type_symbol
_atom_site_fract_x
_atom_site_fract_y
_atom_site_fract_z
Zr1 Zr 0.000 0.000 0.000
Mn1 Mn 0.250 0.250 0.250
Si1 Si 0.000 0.000 0.500
Si2 Si 0.250 0.250 0.750
# - Raw formation energy: -0.06 eV per formula unit
# - Total DFT energy (no corrections): -7.156 eV per atom
# - DOS at the Fermi energy: 11.5 states/eV per cell

***

(5)
# Pr3Sm2Tl4 | Alexandria | PBE | relaxed
data_Pr3Sm2Tl4
_space_group_name_H-M_alt 'P -3 m 1'
_space_group_IT_number 164
_space_group_name_Hall '-P 3 2"'
_cell_length_a 5.4572
_cell_length_b 5.4572
_cell_length_c 10.6916
_cell_angle_alpha 90.00
_cell_angle_beta 90.00
_cell_angle_gamma 120.00
loop_
_atom_site_label
_atom_site_type_symbol
_atom_site_fract_x
_atom_site_fract_y
_atom_site_fract_z
Pr1 Pr 0.0000 0.0000 0.0000
Pr2 Pr 0.3333 0.6667 0.4214
Sm1 Sm 0.3333 0.6667 0.7807
Tl1 Tl 0.0000 0.0000 0.3454
Tl2 Tl 0.3333 0.6667 0.1013
# - E_form: -0.31 eV per atom
# - Energy above the most stable polymorph in this dataset: 0 meV per atom
# - Total DFT energy (no corrections): -4.007 eV per atom
# - DOS at the Fermi energy: 10.0 states/eV per cell

***

(6)
# Li2ThPbS4 | Alexandria | PBE | relaxed
data_Li2ThPbS4
_space_group_name_H-M_alt 'P 1 2/m 1'
_space_group_IT_number 10
_cell_length_a 6.619
_cell_length_b 4.110
_cell_length_c 7.162
_cell_angle_alpha 90.00
_cell_angle_beta 110.24
_cell_angle_gamma 90.00
loop_
_space_group_symop_operation_xyz
'x,y,z'
'-x,-y,-z'
'-x,y,-z'
'x,-y,z'
loop_
_atom_site_label
_atom_site_type_symbol
_atom_site_fract_x
_atom_site_fract_y
_atom_site_fract_z
Li1 Li 0.000 0.000 0.000
Li2 Li 0.000 0.500 0.500
Th1 Th 0.500 0.000 0.500
Pb1 Pb 0.500 0.500 0.000
S1 S 0.240 0.000 0.727
S2 S 0.244 0.500 0.263
# - Raw formation energy: -10.69 eV per formula unit
# - Total DFT energy (no corrections): -5.269 eV per atom
# - DOS at the Fermi energy: 0.0 states/eV per cell

***

(7)
# FeIr2 | Alexandria | PBE | relaxed
data_FeIr2
_space_group_name_H-M_alt 'C m c m'
_space_group_IT_number 63
_space_group_name_Hall '-C 2c 2'
_cell_length_a 2.732
_cell_length_b 13.890
_cell_length_c 4.308
_cell_angle_alpha 90.00
_cell_angle_beta 90.00
_cell_angle_gamma 90.00
loop_
_atom_site_label
_atom_site_type_symbol
_atom_site_fract_x
_atom_site_fract_y
_atom_site_fract_z
Fe1 Fe 0.000 0.111 0.250
Ir1 Ir 0.000 0.222 0.750
Ir2 Ir 0.000 0.444 0.250
# - E_form: -0.04 eV per atom
# - Total DFT energy (no corrections): -8.768 eV per atom
# - DOS at the Fermi energy: 13.1 states/eV per cell

***

(8)
# NdTm2H | Alexandria | PBE | relaxed
data_NdTm2H
_space_group_name_H-M_alt 'R -3 m'
_space_group_IT_number 166
_space_group_name_Hall '-R 3 2"'
_cell_length_a 3.4550
_cell_length_b 3.4550
_cell_length_c 28.3353
_cell_angle_alpha 90.00
_cell_angle_beta 90.00
_cell_angle_gamma 120.00
loop_
_atom_site_label
_atom_site_type_symbol
_atom_site_fract_x
_atom_site_fract_y
_atom_site_fract_z
Nd1 Nd 0.0000 0.0000 0.0000
Tm1 Tm 0.0000 0.0000 0.1206
H1 H 0.0000 0.0000 0.5000
# - Total DFT energy (no corrections): -4.300 eV per atom
# - DOS at the Fermi energy: 13.9 states/eV per cell

***

Question: Which value of DOS at the Fermi energy does entry 8 give?
Answer: 13.9 states/eV per cell